First-principles (PBE) data for a geometry-optimized Ho12Er2Sc5 structure, as listed in Alexandria.

Cell: 8.6657 9.0307 8.2691 Å, 90.89 90.00 118.67°
With the nearest neighbours (Å) after each atom.
Element x y z (fractional)
Ho: 0.5544 0.1087 0.2782  2 Sc 3.16-3.45, 6 Ho 3.30-3.42, 2 Er 3.48
Ho: 0.1657 0.3315 0.8699  1 Sc 2.97
Ho: 0.9819 0.3730 0.2235  4 Sc 3.34-3.51, 6 Ho 3.34-3.56, 1 Er 3.46
Ho: 0.4001 0.2187 0.6151  4 Sc 3.19-3.38, 5 Ho 3.30-3.56
Ho: 0.1814 0.7813 0.3849  4 Sc 3.19-3.38, 5 Ho 3.30-3.56
Ho: 0.4456 0.8913 0.7218  2 Sc 3.16-3.45, 6 Ho 3.30-3.42, 2 Er 3.48
Ho: 0.3910 0.3730 0.2235  4 Sc 3.34-3.51, 6 Ho 3.34-3.56, 1 Er 3.46
Ho: 0.0181 0.6270 0.7765  4 Sc 3.34-3.51, 6 Ho 3.34-3.56, 1 Er 3.46
Ho: 0.6090 0.6270 0.7765  4 Sc 3.34-3.51, 6 Ho 3.34-3.56, 1 Er 3.46
Ho: 0.8186 0.2187 0.6151  4 Sc 3.19-3.38, 5 Ho 3.30-3.56
Ho: 0.5999 0.7813 0.3849  4 Sc 3.19-3.38, 5 Ho 3.30-3.56
Ho: 0.8343 0.6685 0.1301  1 Sc 2.97
Sc: 0.6463 0.2927 0.9422  8 Ho 3.16-3.51, 2 Er 3.44
Sc: 0.7538 0.5075 0.4523  3 Ho 2.97-3.23
Sc: 0.2462 0.4925 0.5477  3 Ho 2.97-3.23
Sc: 0.3537 0.7073 0.0578  8 Ho 3.16-3.51, 2 Er 3.44
Sc: 0.0000 0.0000 0.5000  4 Ho 3.19
Er: 0.2133 0.0000 0.0000  8 Ho 3.40-3.71, 2 Sc 3.44, 1 Er 3.70
Er: 0.7867 0.0000 0.0000  8 Ho 3.40-3.71, 2 Sc 3.44, 1 Er 3.70

Properties
Total energy in eV per atom: -4.887
Space-group type: No. 12
Magnetization in μB/atom: 0.00
DOS(E_F) in states/eV/f.u.: 29.9